Compound: K3NaH
Source: Alexandria via LeMat-Bulk
Functional: PBE-GGA
Structure: relaxed

As for the space-group type: Pm-3m (221). Its polymorph energy (0 for the lowest one) is 0 meV per atom.

Cell lengths 5.936, 5.936, 5.936 Å; angles 90.00, 90.00, 90.00 degrees
Fractional positions:
K: 0.000 0.000 0.500
K: 0.000 0.500 0.000
H: 0.000 0.000 0.000
Na: 0.500 0.500 0.500
K: 0.500 0.000 0.000


Compound: KNa2H6
Source: Alexandria via LeMat-Bulk
Functional: PBE-GGA
Structure: relaxed

As for the space-group type: Fm-3m (225). Its polymorph energy (0 for the lowest one) is 533 meV per atom.

Cell lengths 5.474, 5.474, 5.474 Å; angles 60.00, 60.00, 60.00 degrees
Fractional positions:
H: 0.375 0.625 0.625
Na: 0.750 0.750 0.750
H: 0.625 0.375 0.625
Na: 0.250 0.250 0.250
H: 0.625 0.375 0.375
K: 0.000 0.000 0.000
H: 0.375 0.625 0.375
H: 0.375 0.375 0.625
H: 0.625 0.625 0.375


Compound: K4Na2H
Source: Alexandria via LeMat-Bulk
Functional: PBE-GGA
Structure: relaxed

As for the space-group type: I4/mmm (139). As for the electronic total energy: -1.45 eV/atom.

Cell lengths 5.686, 5.686, 11.072 Å; angles 104.88, 104.88, 90.00 degrees
Fractional positions:
K: 0.155 0.155 0.310
K: 0.845 0.845 0.690
H: 0.000 0.000 0.000
Na: 0.656 0.656 0.312
Na: 0.344 0.344 0.688
K: 0.000 0.500 0.000
K: 0.500 0.000 0.000


Compound: K2NaH
Source: Alexandria via LeMat-Bulk
Functional: PBE-GGA
Structure: relaxed

As for the space-group type: Fm-3m (225). Its polymorph energy (0 for the lowest one) is 302 meV per atom.

Cell lengths 6.032, 6.032, 6.032 Å; angles 60.00, 60.00, 60.00 degrees
Fractional positions:
Na: 0.500 0.500 0.500
K: 0.250 0.250 0.250
H: 0.000 0.000 0.000
K: 0.750 0.750 0.750


Compound: K2NaH3
Source: Alexandria via LeMat-Bulk
Functional: PBE-GGA
Structure: relaxed

As for the space-group type: I4/mmm (139). Its polymorph energy (0 for the lowest one) is 0 meV per atom.

Cell lengths 8.445, 8.445, 8.445 Å; angles 153.71, 153.71, 37.52 degrees
Fractional positions:
K: 0.337 0.337 0.000
K: 0.663 0.663 0.000
H: 0.846 0.846 0.000
H: 0.154 0.154 0.000
H: 0.500 0.500 0.000
Na: 0.000 0.000 0.000


Compound: KNa2H3
Source: Alexandria via LeMat-Bulk
Functional: PBE-GGA
Structure: relaxed

As for the space-group type: Cmcm (63). As for the electronic total energy: -2.42 eV/atom.

Cell lengths 3.918, 6.506, 8.802 Å; angles 90.00, 90.00, 107.52 degrees
Fractional positions:
K: 0.258 0.516 0.250
Na: 0.481 0.962 0.750
Na: 0.000 0.000 0.500
H: 0.623 0.245 0.051
H: 0.941 0.881 0.250
K: 0.742 0.484 0.750
H: 0.377 0.755 0.551
H: 0.623 0.245 0.449
Na: 0.519 0.038 0.250
Na: 0.000 0.000 0.000
H: 0.059 0.119 0.750
H: 0.377 0.755 0.949


Computed D(E_F), in the same sequence as the records: 0.9184, 0.3370, 0.6729, 0.1309, 0.0000, 0.0000 states/eV per atom.